Density functional theory data (GGA+U) for FeO after structural relaxation.

The structure belongs to space group P4_2/mmc (No. 131); the cell edges are 3.0636, 3.0636 and 5.4465 Å and the angles 90.00°, 90.00° and 90.00°. Symmetry generates all atoms from Fe at (0.0000, 0.5000, 0.0000) and O at (0.0000, 0.0000, 0.2500).

The theoretical density is 4.67 g/cm³. For the density of states at the Fermi level, the calculation gives 0.00 states/eV/cell. Its uncorrected energy is -6.573 eV/atom. The volume comes out at 51.1 Å³ per cell.